The following is a DFT calculation (GGA-PBE) of crystalline CsHgBr2F at its relaxed geometry.

Results
For the raw formation energy, the calculation gives -1.35 eV per atom. The calculation puts the energy above the most stable polymorph in this dataset at 0.0 meV/atom.

Structure (POSCAR):
```
CsHgBr2F
1.0
7.858 0.000 0.000
0.000 4.660 0.000
-2.844 0.000 9.477
Cs Hg Br F
2 2 4 2
direct
0.143 0.250 0.307
0.857 0.750 0.693
0.367 0.250 0.803
0.633 0.750 0.197
0.308 0.750 0.054
0.348 0.750 0.622
0.652 0.250 0.378
0.692 0.250 0.946
0.082 0.250 0.754
0.918 0.750 0.246
```

The following is a DFT calculation (GGA-PBE) of crystalline CsHgBr2F at its relaxed geometry.

Results
For the raw formation energy, the calculation gives -1.28 eV per atom. The calculation puts the energy above the most stable polymorph in this dataset at 70.7 meV/atom.

Structure (POSCAR):
```
CsHgBr2F
1.0
5.720 0.000 0.000
0.000 5.720 0.000
0.000 0.000 4.703
Cs Hg Br F
1 1 2 1
direct
0.000 0.000 0.000
0.500 0.500 0.500
0.000 0.500 0.500
0.500 0.000 0.500
0.500 0.500 0.000
```

The following is a DFT calculation (GGA-PBE) of crystalline Cs3Hg2Br2F5 at its relaxed geometry.

Results
For the raw formation energy, the calculation gives -1.84 eV per atom.

Structure (POSCAR):
```
Cs3Hg2Br2F5
1.0
-2.472 2.472 12.899
2.472 -2.472 12.899
2.472 2.472 -12.899
Cs Hg Br F
3 2 2 5
direct
0.000 0.000 0.000
0.158 0.158 0.000
0.842 0.842 0.000
0.412 0.412 0.000
0.588 0.588 0.000
0.309 0.309 0.000
0.691 0.691 0.000
0.083 0.583 0.500
0.417 0.917 0.500
0.500 0.500 0.000
0.583 0.083 0.500
0.917 0.417 0.500
```

The following is a DFT calculation (GGA-PBE) of crystalline Cs2IBrF at its relaxed geometry.

Results
For the raw formation energy, the calculation gives -1.32 eV per atom.

Structure (POSCAR):
```
Cs2IBrF
1.0
6.945 0.000 0.000
0.000 6.945 0.000
0.000 0.000 5.866
Cs I Br F
2 1 1 1
direct
0.000 0.500 0.000
0.500 0.000 0.000
0.000 0.000 0.500
0.000 0.000 0.000
0.500 0.500 0.500
```

The following is a DFT calculation (GGA-PBE) of crystalline Cs3IBrF at its relaxed geometry.

Results
For the raw formation energy, the calculation gives -1.95 eV per atom.

Structure (POSCAR):
```
Cs3IBrF
1.0
9.904 -2.913 0.000
9.904 2.913 0.000
-2.339 0.000 9.914
Cs I Br F
6 2 2 2
direct
0.002 0.002 0.266
0.346 0.346 0.669
0.354 0.354 0.198
0.646 0.646 0.802
0.654 0.654 0.331
0.998 0.998 0.734
0.152 0.152 0.066
0.848 0.848 0.934
0.150 0.150 0.567
0.850 0.850 0.433
0.496 0.496 0.732
0.504 0.504 0.268
```

The following is a DFT calculation (GGA-PBE) of crystalline Cs4I2BrF at its relaxed geometry.

Results
For the raw formation energy, the calculation gives -1.82 eV per atom.

Structure (POSCAR):
```
Cs4I2BrF
1.0
7.323 -7.289 0.000
7.323 7.289 0.000
-7.201 0.000 7.360
Cs I Br F
8 4 2 2
direct
0.213 0.223 0.473
0.220 0.780 0.511
0.220 0.780 0.989
0.223 0.213 0.973
0.777 0.787 0.027
0.780 0.220 0.011
0.780 0.220 0.489
0.787 0.777 0.527
0.000 0.500 0.000
0.500 0.000 0.500
0.500 0.500 0.000
0.500 0.500 0.500
0.000 0.500 0.500
0.500 0.000 0.000
0.000 0.000 0.000
0.000 0.000 0.500
```

The following is a DFT calculation (GGA-PBE) of crystalline Cs4IBr2F at its relaxed geometry.

Results
For the raw formation energy, the calculation gives -1.88 eV per atom.

Structure (POSCAR):
```
Cs4IBr2F
1.0
7.294 -7.311 0.000
7.294 7.311 0.000
-7.052 0.000 7.310
Cs I Br F
8 2 4 2
direct
0.188 0.289 0.989
0.242 0.754 0.993
0.246 0.758 0.507
0.289 0.188 0.489
0.711 0.812 0.511
0.754 0.242 0.493
0.758 0.246 0.007
0.812 0.711 0.011
0.500 0.500 0.000
0.500 0.500 0.500
0.000 0.000 0.000
0.000 0.000 0.500
0.000 0.500 0.500
0.500 0.000 0.000
0.000 0.500 0.000
0.500 0.000 0.500
```

The following is a DFT calculation (GGA-PBE) of crystalline CsIBr2F at its relaxed geometry.

Results
For the raw formation energy, the calculation gives -0.98 eV per atom.

Structure (POSCAR):
```
CsIBr2F
1.0
5.978 0.000 0.000
0.000 5.978 0.000
0.000 0.000 4.900
Cs I Br F
1 1 2 1
direct
0.000 0.000 0.000
0.500 0.500 0.500
0.000 0.500 0.500
0.500 0.000 0.500
0.500 0.500 0.000
```